#w
First-principles (PBE) data for a geometry-optimized ScSiSeN2 structure, as listed in the Alexandria database.

## Properties
**SG**: P4/mmm (123)
**Total magnetization**: 0.0 μB per cell

a = 3.6340 Å, b = 3.6340 Å, c = 5.1364 Å
α = 90.00°, β = 90.00°, γ = 90.00°
Sites, in units of the cell vectors:
1 N 0.5000 0.0000 0.0000
2 N 0.0000 0.5000 0.0000
3 Se 0.0000 0.0000 0.5000
4 Si 0.0000 0.0000 0.0000
5 Sc 0.5000 0.5000 0.5000

---

#x
First-principles (PBE) data for a geometry-optimized ScSiSeN2 structure, as listed in the Alexandria database.

## Properties
**SG**: P4/mmm (123)
**Total magnetization**: 0.3 μB per cell

a = 4.0229 Å, b = 4.0229 Å, c = 5.6101 Å
α = 90.00°, β = 90.00°, γ = 90.00°
Site moments in Bohr magnetons follow the coordinates.
Sites, in units of the cell vectors:
1 N 0.5000 0.0000 0.0000  0.10
2 N 0.0000 0.5000 0.0000  0.10
3 Sc 0.0000 0.0000 0.0000  -0.01
4 Se 0.0000 0.0000 0.5000  0.04
5 Si 0.5000 0.5000 0.5000  -0.01

---

How do the energies compare? Relative to the most stable structure, in eV/atom: #w 0.000; #x 0.894.

---

#w
First-principles (PBE) data for a geometry-optimized ScSiSe2N structure, as listed in the Alexandria database.

## Properties
**SG**: P4/mmm (123)
**Total magnetization**: 0.3 μB per cell

a = 5.0392 Å, b = 5.0392 Å, c = 3.3868 Å
α = 90.00°, β = 90.00°, γ = 90.00°
Site moments in Bohr magnetons follow the coordinates.
Sites, in units of the cell vectors:
1 N 0.0000 0.0000 0.5000  0.01
2 Sc 0.5000 0.5000 0.5000  0.19
3 Se 0.0000 0.5000 0.0000  0.00
4 Se 0.5000 0.0000 0.0000  0.00
5 Si 0.0000 0.0000 0.0000  0.00

---

#x
First-principles (PBE) data for a geometry-optimized ScSiSe2N structure, as listed in the Alexandria database.

## Properties
**SG**: P4/mmm (123)
**Total magnetization**: 1.9 μB per cell

a = 5.2223 Å, b = 5.2223 Å, c = 4.0783 Å
α = 90.00°, β = 90.00°, γ = 90.00°
Site moments in Bohr magnetons follow the coordinates.
Sites, in units of the cell vectors:
1 N 0.0000 0.0000 0.5000  0.96
2 Se 0.0000 0.5000 0.0000  0.16
3 Se 0.5000 0.0000 0.0000  0.16
4 Sc 0.0000 0.0000 0.0000  0.00
5 Si 0.5000 0.5000 0.5000  0.00

---

How do the energies compare? Relative to the most stable structure, in eV/atom: #w 0.000; #x 0.629.

---

#w
First-principles (PBE) data for a geometry-optimized SrScSe2N structure, as listed in the Alexandria database.

## Properties
**SG**: P4/mmm (123)
**Total magnetization**: 1.9 μB per cell

a = 5.3165 Å, b = 5.3165 Å, c = 4.2313 Å
α = 90.00°, β = 90.00°, γ = 90.00°
Site moments in Bohr magnetons follow the coordinates.
Sites, in units of the cell vectors:
1 Se 0.0000 0.5000 0.0000  0.17
2 Se 0.5000 0.0000 0.0000  0.17
3 Sc 0.0000 0.0000 0.0000  -0.02
4 Sr 0.5000 0.5000 0.5000  0.00
5 N 0.0000 0.0000 0.5000  0.96

---

#x
First-principles (PBE) data for a geometry-optimized SrScSe2N structure, as listed in the Alexandria database.

## Properties
**SG**: P4/mmm (123)
**Total magnetization**: 2.0 μB per cell

a = 5.6723 Å, b = 5.6723 Å, c = 4.5826 Å
α = 90.00°, β = 90.00°, γ = 90.00°
Site moments in Bohr magnetons follow the coordinates.
Sites, in units of the cell vectors:
1 Sc 0.5000 0.5000 0.5000  -0.37
2 Se 0.0000 0.5000 0.0000  0.15
3 Se 0.5000 0.0000 0.0000  0.15
4 N 0.0000 0.0000 0.5000  1.33
5 Sr 0.0000 0.0000 0.0000  0.05

---

How do the energies compare? Relative to the most stable structure, in eV/atom: #w 0.000; #x 1.322.

---

#w
First-principles (PBE) data for a geometry-optimized SrScSeN2 structure, as listed in the Alexandria database.

## Properties
**SG**: P4/mmm (123)
**Total magnetization**: 2.9 μB per cell

a = 4.3600 Å, b = 4.3600 Å, c = 5.3009 Å
α = 90.00°, β = 90.00°, γ = 90.00°
Site moments in Bohr magnetons follow the coordinates.
Sites, in units of the cell vectors:
1 Se 0.0000 0.0000 0.5000  0.20
2 Sc 0.0000 0.0000 0.0000  -0.05
3 Sr 0.5000 0.5000 0.5000  0.01
4 N 0.5000 0.0000 0.0000  0.90
5 N 0.0000 0.5000 0.0000  0.90

---

#x
First-principles (PBE) data for a geometry-optimized SrScSeN2 structure, as listed in the Alexandria database.

## Properties
**SG**: P4/mmm (123)
**Total magnetization**: 0.7 μB per cell

a = 4.1578 Å, b = 10.9739 Å, c = 4.1578 Å
α = 90.00°, β = 90.00°, γ = 90.00°
Site moments in Bohr magnetons follow the coordinates.
Sites, in units of the cell vectors:
1 N 0.0000 0.0000 0.5000  0.31
2 N 0.5000 0.0000 0.0000  0.15
3 Sr 0.0000 0.5000 0.0000  0.00
4 Sc 0.0000 0.0000 0.0000  -0.03
5 Se 0.5000 0.5000 0.5000  -0.01

---

#y
First-principles (PBE) data for a geometry-optimized SrScSeN2 structure, as listed in the Alexandria database.

## Properties
**SG**: P4/mmm (123)
**Total magnetization**: 0.5 μB per cell

a = 4.2741 Å, b = 4.2741 Å, c = 5.8064 Å
α = 90.00°, β = 90.00°, γ = 90.00°
Site moments in Bohr magnetons follow the coordinates.
Sites, in units of the cell vectors:
1 N 0.5000 0.0000 0.0000  0.21
2 N 0.0000 0.5000 0.0000  0.21
3 Sr 0.0000 0.0000 0.0000  -0.01
4 Sc 0.5000 0.5000 0.5000  -0.09
5 Se 0.0000 0.0000 0.5000  0.02

---

How do the energies compare? Relative to the most stable structure, in eV/atom: #w 0.000; #x 0.448; #y 1.300.

---

#w
First-principles (PBE) data for a geometry-optimized ScTeSeN2 structure, as listed in the Alexandria database.

## Properties
**SG**: P4/mmm (123)
**Total magnetization**: 0.0 μB per cell

a = 4.0552 Å, b = 4.0552 Å, c = 5.4242 Å
α = 90.00°, β = 90.00°, γ = 90.00°
Sites, in units of the cell vectors:
1 Sc 0.5000 0.5000 0.5000
2 N 0.5000 0.0000 0.0000
3 N 0.0000 0.5000 0.0000
4 Se 0.0000 0.0000 0.5000
5 Te 0.0000 0.0000 0.0000

---

#x
First-principles (PBE) data for a geometry-optimized ScTeSeN2 structure, as listed in the Alexandria database.

## Properties
**SG**: P4/mmm (123)
**Total magnetization**: 2.9 μB per cell

a = 4.2468 Å, b = 5.4693 Å, c = 4.2468 Å
α = 90.00°, β = 90.00°, γ = 90.00°
Site moments in Bohr magnetons follow the coordinates.
Sites, in units of the cell vectors:
1 N 0.0000 0.0000 0.5000  1.04
2 N 0.5000 0.0000 0.0000  0.82
3 Se 0.0000 0.5000 0.0000  0.05
4 Te 0.5000 0.5000 0.5000  0.04
5 Sc 0.0000 0.0000 0.0000  -0.01

---

How do the energies compare? Relative to the most stable structure, in eV/atom: #w 0.067; #x 0.000.

---

#w
First-principles (PBE) data for a geometry-optimized ScTeSeN2 structure, as listed in the Alexandria database.

## Properties
**SG**: P4/mmm (123)
**Total magnetization**: 1.1 μB per cell

a = 4.0865 Å, b = 4.0865 Å, c = 6.5533 Å
α = 90.00°, β = 90.00°, γ = 90.00°
Site moments in Bohr magnetons follow the coordinates.
Sites, in units of the cell vectors:
1 N 0.5000 0.0000 0.0000  0.33
2 N 0.0000 0.5000 0.0000  0.33
3 Sc 0.0000 0.0000 0.0000  -0.02
4 Te 0.0000 0.0000 0.5000  0.03
5 Se 0.5000 0.5000 0.5000  0.04

---

#x
First-principles (PBE) data for a geometry-optimized ScTeSeN2 structure, as listed in the Alexandria database.

## Properties
**SG**: P4/mmm (123)
**Total magnetization**: 0.4 μB per cell

a = 4.0260 Å, b = 4.0260 Å, c = 5.4478 Å
α = 90.00°, β = 90.00°, γ = 90.00°
Site moments in Bohr magnetons follow the coordinates.
Sites, in units of the cell vectors:
1 Se 0.0000 0.0000 0.0000  -0.01
2 N 0.0000 0.5000 0.0000  0.14
3 N 0.5000 0.0000 0.0000  0.14
4 Sc 0.5000 0.5000 0.5000  -0.02
5 Te 0.0000 0.0000 0.5000  0.00

---

How do the energies compare? Relative to the most stable structure, in eV/atom: #w 0.000; #x 0.335.

---

#w
First-principles (PBE) data for a geometry-optimized ScTeSe2N structure, as listed in the Alexandria database.

## Properties
**SG**: P4/mmm (123)
**Total magnetization**: 0.4 μB per cell

a = 5.3968 Å, b = 5.3968 Å, c = 3.9514 Å
α = 90.00°, β = 90.00°, γ = 90.00°
Site moments in Bohr magnetons follow the coordinates.
Sites, in units of the cell vectors:
1 Se 0.5000 0.0000 0.0000  -0.01
2 Se 0.0000 0.5000 0.0000  -0.01
3 Te 0.0000 0.0000 0.0000  0.00
4 Sc 0.5000 0.5000 0.5000  0.30
5 N 0.0000 0.0000 0.5000  -0.01

---

#x
First-principles (PBE) data for a geometry-optimized ScTeSe2N structure, as listed in the Alexandria database.

## Properties
**SG**: P4/mmm (123)
**Total magnetization**: 0.0 μB per cell

a = 5.3259 Å, b = 5.3259 Å, c = 3.9574 Å
α = 90.00°, β = 90.00°, γ = 90.00°
Sites, in units of the cell vectors:
1 N 0.0000 0.0000 0.5000
2 Se 0.5000 0.0000 0.0000
3 Se 0.0000 0.5000 0.0000
4 Sc 0.0000 0.0000 0.0000
5 Te 0.5000 0.5000 0.5000

---

How do the energies compare? Relative to the most stable structure, in eV/atom: #w 0.270; #x 0.000.